Entry 1:
PmY3Er4 after structural relaxation, computed with PBE-GGA.

Computed properties:
* total magnetization: 0.00 Bohr magnetons per cell
* formation energy: 0.176 eV/atom
* Fermi-level density of states: 1.80 states/eV per atom

```
8
Lattice="3.427 0.000 -0.432 -0.171 6.528 -1.354 -0.247 -0.965 11.836" Properties=species:S:1:pos:R:3 pbc="T T T"
Y -0.085 3.264 -0.677
Y 0.222 5.510 1.761
Y 2.786 0.054 8.288
Er 2.374 1.140 5.022
Er 0.634 4.423 5.027
Er 0.306 2.166 2.423
Er 2.703 3.397 7.626
Pm 1.713 0.000 -0.216
```

Entry 2:
Pm4YEr7 after structural relaxation, computed with PBE-GGA.

Computed properties:
* total magnetization: 0.42 Bohr magnetons per cell
* formation energy: 0.276 eV/atom
* Fermi-level density of states: 1.68 states/eV per atom

```
12
Lattice="-0.556 -5.828 0.526 8.975 -4.355 -5.921 3.101 -2.784 5.285" Properties=species:S:1:pos:R:3 pbc="T T T"
Pm 3.192 -6.084 1.657
Pm 8.328 -6.883 -1.767
Pm 8.020 -9.604 0.597
Pm 3.500 -3.362 -0.707
Y 0.000 0.000 0.000
Er 9.409 -10.007 -2.401
Er 2.112 -2.959 2.291
Er 6.677 -3.878 -3.062
Er 4.843 -9.089 2.951
Er 6.632 -6.443 1.320
Er -0.278 -2.914 0.263
Er 4.888 -6.524 -1.430
```

Entry 3:
Pm5Y5Er2 after structural relaxation, computed with PBE-GGA.

Computed properties:
* total magnetization: 0.00 Bohr magnetons per cell
* formation energy: 0.018 eV/atom
* Fermi-level density of states: 1.40 states/eV per atom

```
12
Lattice="-3.199 -3.195 2.328 6.133 -4.251 -2.961 2.053 5.165 9.910" Properties=species:S:1:pos:R:3 pbc="T T T"
Pm -0.573 0.985 6.119
Pm 1.963 1.617 10.471
Pm -0.340 -1.271 3.343
Pm 5.327 -1.010 5.934
Pm 3.024 -3.898 -1.194
Y 2.538 0.638 4.362
Y 2.190 -0.638 7.689
Y 2.797 -1.643 1.589
Y 2.449 -2.919 4.915
Y 0.000 0.000 0.000
Er 2.296 2.898 7.132
Er 2.691 -5.179 2.146
```

Entry 4:
Pm3Y4Er2 after structural relaxation, computed with PBE-GGA.

Computed properties:
* total magnetization: 0.00 Bohr magnetons per cell
* formation energy: 0.100 eV/atom
* Fermi-level density of states: 1.54 states/eV per atom

```
18
Lattice="5.746 1.623 1.162 2.068 11.081 0.764 2.068 4.294 10.244" Properties=species:S:1:pos:R:3 pbc="T T T"
Pm 4.980 3.070 3.702
Pm 7.776 13.316 11.038
Pm 4.903 13.928 8.468
Pm 2.107 3.682 1.133
Pm 3.505 8.770 4.850
Pm 6.378 8.228 7.321
Y 4.679 11.589 3.078
Y 2.331 9.539 1.610
Y 5.204 5.409 9.093
Y 7.552 7.460 10.561
Y 1.604 3.629 4.481
Y 5.406 10.776 9.597
Y 8.279 13.369 7.690
Y 4.477 6.223 2.573
Er 3.966 5.642 6.011
Er 3.043 8.679 8.185
Er 5.917 11.357 6.160
Er 6.839 8.320 3.985
```

Entry 5:
Pm10YEr4 after structural relaxation, computed with PBE-GGA.

Computed properties:
* total magnetization: 0.00 Bohr magnetons per cell
* formation energy: 0.439 eV/atom
* Fermi-level density of states: 1.63 states/eV per atom

```
15
Lattice="-9.767 2.735 -3.933 -7.270 -5.093 -0.533 -6.859 3.518 4.434" Properties=species:S:1:pos:R:3 pbc="T T T"
Pm -9.506 -0.104 0.967
Pm -15.611 3.327 0.968
Pm -12.337 3.244 -2.218
Pm -14.818 -1.171 0.873
Pm -14.792 -0.345 -3.620
Pm -8.284 -2.167 -0.999
Pm -14.390 1.263 -0.999
Pm -9.104 1.505 3.588
Pm -9.078 2.331 -0.905
Pm -11.559 -2.084 2.186
Y 0.000 0.000 0.000
Er -11.787 -1.037 -1.539
Er -17.799 0.522 -0.572
Er -6.097 0.638 0.540
Er -12.109 2.196 1.507
```

Entry 6:
Pm3Y7Er after structural relaxation, computed with PBE-GGA.

Computed properties:
* total magnetization: 0.40 Bohr magnetons per cell
* formation energy: 0.268 eV/atom
* Fermi-level density of states: 1.43 states/eV per atom

```
11
Lattice="-1.521 0.362 -5.659 0.379 -8.111 2.420 -6.904 0.182 4.908" Properties=species:S:1:pos:R:3 pbc="T T T"
Pm -1.165 -6.352 2.947
Pm -0.761 0.181 -2.830
Pm -5.360 -1.577 4.380
Y -1.656 -1.558 0.343
Y -4.203 -7.886 3.663
Y -0.922 -3.008 -2.993
Y -7.124 -4.560 4.661
Y -3.262 -3.965 3.664
Y -3.843 0.318 -1.995
Y -6.390 -6.010 1.325
Er -4.023 -3.784 0.834
```

Entry 7:
Pm2Y2Er after structural relaxation, computed with PBE-GGA.

Computed properties:
* total magnetization: 0.01 Bohr magnetons per cell
* formation energy: 0.014 eV/atom
* Fermi-level density of states: 1.75 states/eV per atom

```
10
Lattice="-2.759 3.316 -4.618 -5.735 -3.158 5.483 1.918 5.790 3.011" Properties=species:S:1:pos:R:3 pbc="T T T"
Pm -6.745 0.501 0.773
Pm -0.339 2.010 2.353
Pm 0.169 5.447 3.103
Pm -6.238 3.938 1.523
Y -2.739 4.566 1.300
Y -2.426 3.733 4.839
Y -3.838 1.382 2.576
Y -4.150 2.215 -0.963
Er -0.175 6.282 -0.443
Er -0.666 2.824 -1.165
```

Entry 8:
Pm6Y2Er after structural relaxation, computed with PBE-GGA.

Computed properties:
* total magnetization: 0.00 Bohr magnetons per cell
* formation energy: 0.015 eV/atom
* Fermi-level density of states: 1.41 states/eV per atom

```
9
Lattice="-3.084 -4.050 -0.490 2.636 -4.254 -8.153 4.583 -6.640 -0.672" Properties=species:S:1:pos:R:3 pbc="T T T"
Pm 3.069 -8.380 -3.455
Pm 5.148 -9.640 -6.146
Pm 3.119 -7.805 -8.539
Pm 1.066 -6.564 -5.860
Pm -1.014 -5.304 -3.169
Pm 1.016 -7.139 -0.776
Y 1.557 -10.120 -6.256
Y 2.578 -4.824 -3.059
Er 0.000 0.000 0.000
```

- Number 8 is which compound?
  Pm6Y2Er